Ca2HgRuW | the Alexandria database | PBE-GGA | optimized geometry; E_tot = -3.70 eV/atom; total moment = 4.0 μB per formula unit; formation energy = 1.606 eV per atom; D(E_F) = 1.1397 states/eV/atom
1.0
5.506 0.000 0.000
0.000 5.506 0.000
0.000 0.000 5.000
Ca Hg Ru W
2 1 1 1
direct
0.000 0.500 0.000
0.500 0.000 0.000
0.000 0.000 0.000
0.000 0.000 0.500
0.500 0.500 0.500


CaLa2Pa | the Alexandria database | PBE-GGA | optimized geometry; energy relative to the lowest polymorph listed for this composition = 242 meV per atom; E_tot = -4.96 eV/atom; total moment = 0.0 μB per formula unit; formation energy = 0.375 eV per atom; D(E_F) = 1.7847 states/eV/atom
1.0
1.695 0.979 13.090
-1.695 0.979 13.090
0.000 -1.957 13.090
Ca La Pa
1 2 1
direct
0.000 0.000 0.000
0.419 0.419 0.419
0.581 0.581 0.581
0.500 0.500 0.500


AlCoAsH2 | the Alexandria database | PBE-GGA | optimized geometry; E_tot = -3.99 eV/atom; total moment = 0.8 μB per formula unit; D(E_F) = 0.6857 states/eV/atom
1.0
3.497 0.000 0.000
0.000 3.497 0.000
0.000 0.000 4.859
Al Co As H
1 1 1 2
direct
0.000 0.000 0.000
0.000 0.000 0.500
0.500 0.500 0.000
0.000 0.500 0.500
0.500 0.000 0.500


CaPm2Tl3 | the Alexandria database | PBE-GGA | optimized geometry; E_tot = -3.50 eV/atom; total moment = 0.0 μB per formula unit; formation energy = -0.399 eV per atom; D(E_F) = 0.8792 states/eV/atom
1.0
3.764 0.000 0.000
0.000 3.764 0.000
0.000 0.000 12.355
Ca Pm Tl
1 2 3
direct
0.000 0.000 0.000
0.000 0.000 0.330
0.000 0.000 0.670
0.500 0.500 0.163
0.500 0.500 0.500
0.500 0.500 0.837


NbZnPt | the Alexandria database | PBE-GGA | optimized geometry; E_tot = -6.17 eV/atom; total moment = 0.0 μB per formula unit; formation energy = -0.377 eV per atom; D(E_F) = 0.7052 states/eV/atom
1.0
6.208 -1.417 0.000
6.208 1.417 0.000
-1.078 0.000 5.470
Nb Zn Pt
2 2 2
direct
0.000 0.000 0.000
0.000 0.000 0.500
0.327 0.327 0.677
0.673 0.673 0.323
0.335 0.335 0.183
0.665 0.665 0.817


GeAs2I8 | the Alexandria database | PBE-GGA | optimized geometry; energy relative to the lowest polymorph listed for this composition = 0 meV per atom; E_form (uncorrected) = -0.196 eV/atom; E_tot = -2.59 eV/atom; total moment = 0.0 μB per formula unit
1.0
4.257 0.000 0.000
-0.038 10.534 0.000
-0.531 -0.633 10.696
Ge As I
1 2 8
direct
0.000 0.000 0.000
0.400 0.267 0.747
0.600 0.733 0.253
0.001 0.283 0.948
0.054 0.795 0.433
0.430 0.511 0.722
0.471 0.954 0.804
0.529 0.046 0.196
0.570 0.489 0.278
0.946 0.205 0.567
0.999 0.717 0.052


MgSiTe2 | the Alexandria database | PBE-GGA | optimized geometry; energy relative to the lowest polymorph listed for this composition = 433 meV per atom; E_form (uncorrected) = 0.136 eV/atom; E_tot = -3.19 eV/atom; total moment = 0.0 μB per formula unit; D(E_F) = 0.1433 states/eV/atom
1.0
2.154 1.244 8.299
-2.154 1.244 8.299
0.000 -2.487 8.299
Mg Si Te
1 1 2
direct
0.000 0.000 0.000
0.500 0.500 0.500
0.106 0.106 0.106
0.894 0.894 0.894


La3TmGa2 | the Alexandria database | PBE-GGA | optimized geometry; energy relative to the lowest polymorph listed for this composition = 31 meV per atom; E_tot = -4.59 eV/atom; total moment = 0.5 μB per formula unit; formation energy = -0.376 eV per atom; D(E_F) = 1.2701 states/eV/atom
1.0
-3.343 8.059 3.308
3.343 -8.059 3.308
3.343 8.059 -3.308
La Tm Ga
6 2 4
direct
0.181 0.746 0.927
0.250 0.250 0.000
0.319 0.246 0.565
0.681 0.754 0.435
0.750 0.750 0.000
0.819 0.254 0.073
0.250 0.750 0.500
0.750 0.250 0.500
0.127 0.266 0.394
0.373 0.766 0.139
0.627 0.234 0.861
0.873 0.734 0.606


Fe2TcTe | the Alexandria database | PBE-GGA | optimized geometry; E_form (uncorrected) = 0.892 eV/atom; E_tot = -6.72 eV/atom; total moment = 0.0 μB per formula unit; D(E_F) = 2.1379 states/eV/atom
1.0
-2.669 2.669 5.599
2.669 -2.669 5.599
2.669 2.669 -5.599
Fe Tc Te
4 2 2
direct
0.090 0.625 0.965
0.375 0.340 0.465
0.660 0.125 0.035
0.875 0.910 0.535
0.000 0.000 0.000
0.750 0.250 0.500
0.250 0.750 0.500
0.500 0.500 0.000


Ac2Mg4Al3Hg | the Alexandria database | PBE-GGA | optimized geometry; E_tot = -2.83 eV/atom; total moment = 0.0 μB per formula unit; formation energy = -0.218 eV per atom; D(E_F) = 0.5136 states/eV/atom
1.0
4.699 0.000 0.000
0.000 4.699 0.000
0.000 0.000 11.727
Ac Mg Al Hg
2 4 3 1
direct
0.000 0.500 0.249
0.500 0.000 0.751
0.000 0.000 0.500
0.000 0.500 0.870
0.500 0.000 0.130
0.500 0.500 0.500
0.000 0.000 0.000
0.000 0.500 0.639
0.500 0.000 0.361
0.500 0.500 0.000


PmNpN | the Alexandria database | PBE-GGA | optimized geometry; energy relative to the lowest polymorph listed for this composition = 56 meV per atom; E_form (uncorrected) = -0.550 eV/atom; E_tot = -9.22 eV/atom; total moment = 4.2 μB per formula unit; D(E_F) = 2.7141 states/eV/atom
1.0
3.432 0.000 0.000
-1.716 2.973 0.000
0.000 0.000 6.300
Pm Np N
1 1 1
direct
0.000 0.000 0.000
0.333 0.667 0.453
0.667 0.333 0.250


Pm2ZrTl | the Alexandria database | PBE-GGA | optimized geometry; energy relative to the lowest polymorph listed for this composition = 0 meV per atom; E_tot = -5.18 eV/atom; total moment = 0.0 μB per formula unit; formation energy = -0.079 eV per atom; D(E_F) = 1.2898 states/eV/atom
1.0
4.765 0.000 0.000
0.000 4.765 0.000
0.000 0.000 4.834
Pm Zr Tl
2 1 1
direct
0.000 0.500 0.000
0.500 0.000 0.000
0.000 0.000 0.500
0.500 0.500 0.500


DyNb2 | the Alexandria database | PBE-GGA | optimized geometry; energy relative to the lowest polymorph listed for this composition = 24 meV per atom; E_tot = -8.07 eV/atom; total moment = 0.0 μB per formula unit; formation energy = 0.182 eV per atom; D(E_F) = 1.8462 states/eV/atom
1.0
0.000 4.046 4.046
4.046 0.000 4.046
4.046 4.046 0.000
Dy Nb
2 4
direct
0.125 0.125 0.125
0.875 0.875 0.875
0.000 0.500 0.500
0.500 0.000 0.500
0.500 0.500 0.000
0.500 0.500 0.500


PaMn2Ga | the Alexandria database | PBE-GGA | optimized geometry; E_tot = -7.83 eV/atom; total moment = 1.9 μB per formula unit; formation energy = -0.111 eV per atom; D(E_F) = 0.6946 states/eV/atom
1.0
0.000 3.138 3.138
3.138 0.000 3.138
3.138 3.138 0.000
Pa Mn Ga
1 2 1
direct
0.000 0.000 0.000
0.250 0.250 0.250
0.750 0.750 0.750
0.500 0.500 0.500


HgH4C2N4Cl2 | the Alexandria database | PBE-GGA | optimized geometry; E_tot = -5.56 eV/atom; total moment = 0.0 μB per formula unit; D(E_F) = 0.0000 states/eV/atom
1.0
4.125 0.000 0.000
0.137 6.844 0.000
0.066 1.222 7.370
Hg H C N Cl
1 4 2 4 2
direct
0.000 0.000 0.000
0.104 0.374 0.678
0.171 0.601 0.753
0.680 0.573 0.285
0.836 0.358 0.419
0.924 0.618 0.511
0.953 0.942 0.571
0.014 0.075 0.649
0.085 0.526 0.657
0.810 0.508 0.394
0.869 0.815 0.472
0.371 0.728 0.010
0.609 0.240 0.056


Mn4CuW | the Alexandria database | PBE-GGA | optimized geometry; E_tot = -8.84 eV/atom; total moment = 2.5 μB per formula unit; formation energy = 0.116 eV per atom; D(E_F) = 1.1609 states/eV/atom
1.0
0.000 3.308 3.308
3.308 0.000 3.308
3.308 3.308 0.000
Mn Cu W
4 1 1
direct
0.376 0.376 0.376
0.376 0.376 0.871
0.376 0.871 0.376
0.871 0.376 0.376
0.750 0.750 0.750
0.000 0.000 0.000


Ba2AsF | the Alexandria database | PBE-GGA | optimized geometry; energy relative to the lowest polymorph listed for this composition = 0 meV per atom; E_form (uncorrected) = -2.034 eV/atom; E_tot = -4.63 eV/atom; total moment = 0.0 μB per formula unit
1.0
4.702 0.000 0.000
2.348 4.090 0.000
0.003 0.009 7.426
Ba As F
2 1 1
direct
0.000 0.000 0.000
0.334 0.331 0.524
0.667 0.666 0.781
0.999 0.005 0.356


PrSmDy3Y | the Alexandria database | PBE-GGA | optimized geometry; E_tot = -4.94 eV/atom; total moment = 0.0 μB per formula unit; formation energy = 0.021 eV per atom; D(E_F) = 1.4398 states/eV/atom
1.0
2.540 -7.621 0.000
2.540 7.621 0.000
0.000 0.000 10.165
Pr Sm Dy Y
2 2 6 2
direct
0.000 0.000 0.000
0.000 0.000 0.500
0.499 0.501 0.750
0.501 0.499 0.250
0.168 0.832 0.250
0.332 0.668 0.000
0.332 0.668 0.500
0.668 0.332 0.000
0.668 0.332 0.500
0.832 0.168 0.750
0.168 0.832 0.750
0.832 0.168 0.250


CoPI2 | the Alexandria database | PBE-GGA | optimized geometry; energy relative to the lowest polymorph listed for this composition = 0 meV per atom; E_form (uncorrected) = 0.752 eV/atom; E_tot = -3.15 eV/atom; total moment = 1.3 μB per formula unit; D(E_F) = 1.3603 states/eV/atom
1.0
-3.514 3.514 4.288
3.514 -3.514 4.288
3.514 3.514 -4.288
Co P I
2 2 4
direct
0.000 0.000 0.000
0.750 0.250 0.500
0.250 0.750 0.500
0.500 0.500 0.000
0.083 0.625 0.958
0.375 0.333 0.458
0.667 0.125 0.042
0.875 0.917 0.542


Pr8Tl2In | the Alexandria database | PBE-GGA | optimized geometry; energy relative to the lowest polymorph listed for this composition = 0 meV per atom; E_tot = -4.38 eV/atom; total moment = 0.0 μB per formula unit; formation energy = -0.220 eV per atom; D(E_F) = 1.0794 states/eV/atom
1.0
8.866 -2.559 0.000
8.866 2.559 0.000
-3.077 0.000 7.852
Pr Tl In
8 2 1
direct
0.056 0.056 0.232
0.141 0.141 0.703
0.321 0.321 0.560
0.404 0.404 0.050
0.596 0.596 0.950
0.679 0.679 0.440
0.859 0.859 0.297
0.944 0.944 0.768
0.224 0.224 0.146
0.776 0.776 0.854
0.500 0.500 0.500